1.
Computed, not measured: a geometry-optimized Ho6BiO12 structure at the PBE-GGA level of DFT.

Output
calculated volume	267	Å³ per cell
SG	No. 148
E_tot	-7.8011	eV per atom

abc: 6.535 6.535 6.535
angles: 99.08 99.08 99.08
Fractional positions:
Ho: 0.109 0.641 0.807
Ho: 0.193 0.891 0.359
Ho: 0.359 0.193 0.891
Ho: 0.641 0.807 0.109
Ho: 0.807 0.109 0.641
Ho: 0.891 0.359 0.193
Bi: 0.500 0.500 0.500
O: 0.067 0.322 0.916
O: 0.084 0.933 0.678
O: 0.183 0.552 0.429
O: 0.322 0.916 0.067
O: 0.429 0.183 0.552
O: 0.448 0.571 0.817
O: 0.552 0.429 0.183
O: 0.571 0.817 0.448
O: 0.678 0.084 0.933
O: 0.817 0.448 0.571
O: 0.916 0.067 0.322
O: 0.933 0.678 0.084


2.
Computed, not measured: a geometry-optimized TaB3Mo structure at the PBE-GGA level of DFT.

Output
calculated volume	64	Å³ per cell
SG	No. 221
energy relative to the elements	112.6	kJ per mole of atoms

abc: 3.995 3.995 3.995
angles: 90.00 90.00 90.00
Fractional positions:
Ta: 0.000 0.000 0.000
B: 0.000 0.500 0.500
B: 0.500 0.000 0.500
B: 0.500 0.500 0.000
Mo: 0.500 0.500 0.500


| no. | spin magnetization (μB/cell) |
| --- | --- |
| 1 | 1.14 |
| 2 | 0.00 |